[1]
The following is a DFT calculation (PBEsol) of a relaxed Si2PtBr crystal.

Values from the calculation:
* ΔE_f (raw): 13.1 kJ/mol of formula units
* total moment: 0.00 μB/cell
* raw total energy: -5.048 eV/atom
* Fermi-level density of states: 1.6 states/eV/cell

Cell lengths 4.216, 4.348, 4.348 Å; angles 110.10, 90.00, 90.00 degrees
Fractional coordinates of all 4 atoms:
Br1 0.500 0.500 0.500
Si1 0.000 0.182 0.818
Si2 0.000 0.818 0.182
Pt1 0.500 0.000 0.000

---

[2]
The following is a DFT calculation (PBEsol) of a relaxed SiPt2Br crystal.

Values from the calculation:
* ΔE_f (raw): -38.4 kJ/mol of formula units
* total moment: 0.00 μB/cell
* raw total energy: -5.485 eV/atom
* Fermi-level density of states: 2.5 states/eV/cell

Cell lengths 3.939, 3.939, 6.278 Å; angles 71.72, 71.72, 60.00 degrees
Fractional coordinates of all 4 atoms:
Br1 0.268 0.268 0.195
Si1 0.451 0.451 0.646
Pt1 0.017 0.017 0.949
Pt2 0.763 0.763 0.710

---

[3]
The following is a DFT calculation (PBEsol) of a relaxed TaSiPt2Br crystal.

Values from the calculation:
* ΔE_f (raw): 542.1 kJ/mol of formula units
* total moment: 0.00 μB/cell
* raw total energy: -5.695 eV/atom
* Fermi-level density of states: 5.3 states/eV/cell

Cell lengths 4.816, 4.816, 5.083 Å; angles 90.00, 90.00, 90.00 degrees
Fractional coordinates of all 5 atoms:
Ta1 0.000 0.000 0.000
Pt1 0.000 0.500 0.000
Br1 0.500 0.500 0.500
Si1 0.000 0.000 0.500
Pt2 0.500 0.000 0.000

---

[4]
The following is a DFT calculation (PBEsol) of a relaxed SiPtW2Br crystal.

Values from the calculation:
* ΔE_f (raw): 1080.2 kJ/mol of formula units
* total moment: 0.00 μB/cell
* raw total energy: -6.200 eV/atom
* Fermi-level density of states: 6.7 states/eV/cell

Cell lengths 4.526, 4.526, 4.582 Å; angles 90.00, 90.00, 90.00 degrees
Fractional coordinates of all 5 atoms:
Si1 0.000 0.000 0.500
Br1 0.000 0.000 0.000
W1 0.500 0.000 0.000
Pt1 0.500 0.500 0.500
W2 0.000 0.500 0.000

---

Q: What is the ΔE_f (raw) in the fourth record?
A: 1080.2 kJ/mol of formula units